DFT (PBE) results for a relaxed structure of Cr3Ru3C2.

## Properties
Crystal system: trigonal

abc: 2.775 2.775 13.250
angles: 90.00 90.00 120.00
Positions (direct):
Cr: 0.667 0.333 0.175
Cr: 0.000 0.000 0.000
Cr: 0.333 0.667 0.825
Ru: 0.667 0.333 0.665
Ru: 0.000 0.000 0.500
Ru: 0.333 0.667 0.335
C: 0.333 0.667 0.095
C: 0.667 0.333 0.905

---

DFT (PBE) results for a relaxed structure of Pm2AlTc3.

## Properties
Crystal system: monoclinic

abc: 5.396 5.396 5.555
angles: 90.03 119.12 119.90
Positions (direct):
Pm: 0.757 0.378 0.135
Pm: 0.243 0.622 0.865
Al: 0.000 0.000 0.000
Tc: 0.500 0.500 0.500
Tc: 0.000 0.000 0.500
Tc: 0.500 0.000 0.500

---

DFT (PBE) results for a relaxed structure of ZnTcPb.

## Properties
Crystal system: hexagonal
ΔE to the lowest computed polymorph: 144.7 meV per atom

abc: 4.397 4.397 3.360
angles: 90.00 90.00 120.00
Positions (direct):
Pb: 0.000 0.000 0.000
Tc: 0.667 0.333 0.500
Zn: 0.333 0.667 0.500

---

Energy of formation across the listed records, respectively: 0.044, -0.222, 0.581 eV/atom.